Density functional theory data (PBE-GGA) for Ho3Ru5N12 after structural relaxation.

POSCAR file:
```
Ho3Ru5N12
1.0
-6.2889 6.2889 6.2889
6.2889 -6.2889 6.2889
6.2889 6.2889 -6.2889
Ho Ru N
12 20 48
Cartesian
3.1445 1.5722 0.0000
6.2889 3.1445 -1.5722
1.5722 0.0000 3.1445
7.8612 0.0000 3.1445
0.0000 3.1445 1.5722
3.1445 -1.5722 6.2889
3.1445 7.8612 0.0000
6.2889 3.1445 4.7167
-1.5722 6.2889 3.1445
4.7167 6.2889 3.1445
0.0000 3.1445 7.8612
3.1445 4.7167 6.2889
0.0000 0.0000 0.0000
3.1445 3.1445 -3.1445
3.1445 -3.1445 3.1445
6.2889 0.0000 0.0000
9.4334 1.5722 0.0000
6.2889 -3.1445 4.7167
4.7167 6.2889 -3.1445
4.7167 0.0000 3.1445
3.1445 4.7167 0.0000
6.2889 3.1445 1.5722
-3.1445 3.1445 3.1445
0.0000 6.2889 0.0000
0.0000 0.0000 6.2889
3.1445 3.1445 3.1445
0.0000 3.1445 4.7167
3.1445 1.5722 6.2889
1.5722 6.2889 3.1445
1.5722 0.0000 9.4334
0.0000 9.4334 1.5722
-3.1445 4.7167 6.2889
1.8905 -0.3921 0.6572
7.5429 3.8017 -3.5365
8.1794 0.3921 0.6572
7.5429 -2.4873 3.5365
5.8969 -0.6572 1.8905
9.8255 -1.2540 2.4873
0.6572 1.8905 -0.3921
8.7762 2.7524 -1.2540
3.8017 3.5365 -1.2540
5.6317 1.8905 0.3921
-0.3921 0.6572 1.8905
3.5365 -1.2540 3.8017
5.8969 5.6317 -1.8905
3.5365 1.2540 2.4873
3.8017 -3.5365 7.5429
5.6317 -1.8905 5.8969
2.4873 3.5365 1.2540
6.9461 4.3985 0.3921
3.5365 7.5429 -2.4873
5.8969 0.6572 4.3985
1.8905 5.8969 -0.6572
7.5429 2.4873 2.7524
1.2540 2.4873 3.5365
1.8905 0.3921 5.6317
4.3985 5.8969 0.6572
5.0349 3.8017 2.7524
-1.2540 3.8017 3.5365
4.3985 0.3921 6.9461
0.3921 5.6317 1.8905
2.7524 -1.2540 8.7762
-0.6572 1.8905 5.8969
3.8017 2.7524 5.0349
0.6572 8.1794 0.3921
2.4873 9.8255 -1.2540
2.7524 5.0349 3.8017
0.3921 0.6572 8.1794
2.7524 7.5429 2.4873
6.6810 5.6317 4.3985
0.6572 4.3985 5.8969
2.4873 2.7524 7.5429
-2.4873 3.5365 7.5429
5.6317 4.3985 6.6810
-3.5365 7.5429 3.8017
0.3921 6.9461 4.3985
-1.2540 8.7762 2.7524
-1.8905 5.8969 5.6317
-1.2540 2.4873 9.8255
4.3985 6.6810 5.6317
```

Results
- Raw total energy: -651.57 eV/cell
- Formation energy (no corrections): -143.8 meV per atom